# Tb2HoCo

An optimized crystal structure of Tb2HoCo (GGA-PBE, Alexandria).

a b c (Å): 3.4209 3.4209 8.7628
angles (deg): 90.00 90.00 90.00
With the nearest neighbours (Å) after each atom.
Positions (direct):
Tb1 0.0000 0.0000 0.1858  4 Co 2.92, 1 Tb 3.26
Tb2 0.0000 0.0000 0.8142  4 Co 2.92, 1 Tb 3.26
Ho1 0.5000 0.5000 0.5000  4 Ho 3.42, 8 Tb 3.66
Co1 0.5000 0.5000 0.0000  8 Tb 2.92

Spin magnetization in μB/f.u.: 1.1
E_form in eV/atom: -0.03